Record 1
VASP calculation (PBE-GGA) on a geometry-optimized PrLuTl structure.

Cell: 7.2521 7.2521 7.2521 Å, 150.79 150.79 41.78°
Fractional positions:
Pr  0.0000  0.0000  0.0000
Lu  0.3122  0.3122  0.0000
Tl  0.6679  0.6679  0.0000

Results
Total DFT energy (no corrections)   -4.095 eV/atom
Space group   No. 107
ΔH_f (0 K)   -0.206 eV/atom
Energy above the lowest structure with this stoichiometry   0.0 meV/atom
Spin magnetization   0.0 μB per formula unit

Record 2
VASP calculation (PBE-GGA) on a geometry-optimized PrTmLuTl structure.

Cell: 5.4907 5.4907 5.4907 Å, 60.00 60.00 60.00°
Fractional positions:
Pr  0.0000  0.0000  0.0000
Tm  0.5000  0.5000  0.5000
Lu  0.2500  0.2500  0.2500
Tl  0.7500  0.7500  0.7500

Results
Total DFT energy (no corrections)   -4.075 eV/atom
Space group   No. 216
ΔH_f (0 K)   -0.041 eV/atom
Spin magnetization   0.7 μB per formula unit

Record 3
VASP calculation (PBE-GGA) on a geometry-optimized PrLuTlZn structure.

Cell: 5.2926 5.2926 5.2926 Å, 60.00 60.00 60.00°
Fractional positions:
Pr  0.0000  0.0000  0.0000
Lu  0.5000  0.5000  0.5000
Tl  0.2500  0.2500  0.2500
Zn  0.7500  0.7500  0.7500

Results
Total DFT energy (no corrections)   -3.531 eV/atom
Space group   No. 216
ΔH_f (0 K)   -0.296 eV/atom
Spin magnetization   0.0 μB per formula unit

Record 4
VASP calculation (PBE-GGA) on a geometry-optimized Pr2TmLu structure.

Cell: 5.7240 5.7240 5.7240 Å, 60.00 60.00 60.00°
Fractional positions:
Pr  0.2500  0.2500  0.2500
Pr  0.7500  0.7500  0.7500
Tm  0.0000  0.0000  0.0000
Lu  0.5000  0.5000  0.5000

Results
Total DFT energy (no corrections)   -4.554 eV/atom
Space group   No. 225
ΔH_f (0 K)   0.084 eV/atom
Energy above the lowest structure with this stoichiometry   61.6 meV/atom
Spin magnetization   0.0 μB per formula unit